<P>
KHg3O: optimized geometry, PBE.

Unit cell a=6.6769 b=6.6769 c=6.6769 alpha=90.00 beta=90.00 gamma=90.00
Closest atoms and distances in Å follow each position.
Space group Pm-3m (No. 221)
Inequivalent atoms, fractional coordinates:
K 0.0000 0.0000 0.0000 x1  6 Hg 3.34
Hg 0.0000 0.0000 0.5000 x3  2 K 3.34
O 0.5000 0.5000 0.5000 x1  12 Hg 4.72

=====

<Q>
KHg3O: optimized geometry, PBE.

Unit cell a=5.3017 b=5.3017 c=5.3017 alpha=90.00 beta=90.00 gamma=90.00
Closest atoms and distances in Å follow each position.
Space group Pm-3m (No. 221)
Inequivalent atoms, fractional coordinates:
K 0.0000 0.0000 0.0000 x1  12 Hg 3.75
Hg 0.0000 0.5000 0.5000 x3  2 O 2.65
O 0.5000 0.5000 0.5000 x1  6 Hg 2.65

=====

Least stable: <P>

=====

<P>
KHgOs: optimized geometry, PBE.

Unit cell a=2.7962 b=4.6475 c=11.8974 alpha=90.00 beta=90.00 gamma=90.00
Closest atoms and distances in Å follow each position.
Space group Imm2 (No. 44)
Inequivalent atoms, fractional coordinates:
K 0.0000 0.0000 0.0000 x2  2 K 2.80
Hg 0.0000 0.0000 0.7272 x2  4 Os 2.77, 2 Hg 2.80
Os 0.0000 0.0000 0.2729 x2  4 Hg 2.77, 2 Os 2.80

=====

<Q>
KHgOs: optimized geometry, PBE.

Unit cell a=5.2748 b=5.2748 c=2.7261 alpha=90.00 beta=90.00 gamma=120.00
Closest atoms and distances in Å follow each position.
Space group P-6m2 (No. 187)
Inequivalent atoms, fractional coordinates:
K 0.0000 0.0000 0.0000 x1  2 K 2.73
Hg 0.3333 0.6667 0.5000 x1  2 Hg 2.73, 3 Os 3.05
Os 0.6667 0.3333 0.5000 x1  2 Os 2.73, 3 Hg 3.05

=====

<R>
KHgOs: optimized geometry, PBE.

Unit cell a=3.3820 b=4.4823 c=16.5302 alpha=90.00 beta=90.00 gamma=90.00
Closest atoms and distances in Å follow each position.
Space group Fmm2 (No. 42)
Inequivalent atoms, fractional coordinates:
K 0.0000 0.0000 0.0000 x4  4 K 2.81
Hg 0.0000 0.0000 0.6835 x4  4 Hg 2.81, 2 Os 3.01
Os 0.0000 0.0000 0.3342 x4  4 Os 2.81, 2 Hg 3.01

=====

Least stable: <Q>

=====

<P>
KHgOs: optimized geometry, PBE.

Unit cell a=3.6329 b=3.6329 c=12.0408 alpha=90.00 beta=90.00 gamma=90.00
Closest atoms and distances in Å follow each position.
Space group I4mm (No. 107)
Inequivalent atoms, fractional coordinates:
K 0.0000 0.0000 0.0000 x2  5 Hg 3.37-3.69, 5 Os 3.40-3.67, 4 K 3.63
Hg 0.0000 0.0000 0.2797 x2  4 Os 2.67
Os 0.0000 0.0000 0.7179 x2  4 Hg 2.67

=====

<Q>
KHgOs: optimized geometry, PBE.

Unit cell a=2.8167 b=2.8167 c=16.1147 alpha=90.00 beta=90.00 gamma=90.00
Closest atoms and distances in Å follow each position.
Space group I4mm (No. 107)
Inequivalent atoms, fractional coordinates:
K 0.0000 0.0000 0.0000 x2  4 K 2.82
Hg 0.0000 0.0000 0.6834 x2  4 Hg 2.82, 4 Os 3.11
Os 0.0000 0.0000 0.3317 x2  4 Os 2.82, 4 Hg 3.11

=====

Least stable: <P>

=====

<P>
KHg3Os: optimized geometry, PBE.

Unit cell a=6.2779 b=6.2779 c=6.2779 alpha=90.00 beta=90.00 gamma=90.00
Closest atoms and distances in Å follow each position.
Space group Pm-3m (No. 221)
Inequivalent atoms, fractional coordinates:
K 0.0000 0.0000 0.0000 x1  6 Hg 3.14
Hg 0.0000 0.0000 0.5000 x3  2 K 3.14
Os 0.5000 0.5000 0.5000 x1  12 Hg 4.44

=====

<Q>
KHg3Os: optimized geometry, PBE.

Unit cell a=5.3155 b=5.3155 c=5.3155 alpha=90.00 beta=90.00 gamma=90.00
Closest atoms and distances in Å follow each position.
Space group Pm-3m (No. 221)
Inequivalent atoms, fractional coordinates:
K 0.0000 0.0000 0.0000 x1  12 Hg 3.76
Hg 0.0000 0.5000 0.5000 x3  2 Os 2.66
Os 0.5000 0.5000 0.5000 x1  6 Hg 2.66

=====

Least stable: <P>

=====

<P>
K3HgP: optimized geometry, PBE.

Unit cell a=5.2631 b=8.9974 c=7.6458 alpha=90.00 beta=90.00 gamma=90.00
Closest atoms and distances in Å follow each position.
Space group Pmmn (No. 59, origin choice 2)
Inequivalent atoms, fractional coordinates:
K 0.2500 0.0364 0.2085 x4  3 P 3.39-3.40, 2 Hg 3.63, 3 K 3.68-3.76
K 0.2500 0.2500 0.7862 x2  2 P 3.46, 6 K 3.68-3.76, 2 Hg 3.85
Hg 0.2500 0.7500 0.5819 x2  1 P 2.58
P 0.2500 0.7500 0.9195 x2  1 Hg 2.58

=====

<Q>
K3HgP: optimized geometry, PBE.

Unit cell a=6.2939 b=6.2939 c=6.2939 alpha=90.00 beta=90.00 gamma=90.00
Closest atoms and distances in Å follow each position.
Space group Pm-3m (No. 221)
Inequivalent atoms, fractional coordinates:
K 0.0000 0.0000 0.5000 x3  2 P 3.15
Hg 0.5000 0.5000 0.5000 x1  12 K 4.45
P 0.0000 0.0000 0.0000 x1  6 K 3.15

=====

Least stable: <Q>

=====

<P>
K2Hg2P: optimized geometry, PBE.

Unit cell a=6.6959 b=6.6959 c=8.1233 alpha=90.00 beta=90.00 gamma=90.00
Closest atoms and distances in Å follow each position.
Space group I4/mmm (No. 139)
Inequivalent atoms, fractional coordinates:
K 0.0000 0.5000 0.2500 x4  4 Hg 3.40
Hg 0.0000 0.0000 0.1801 x4  1 P 2.60
P 0.0000 0.0000 0.5000 x2  2 Hg 2.60

=====

<Q>
K2Hg2P: optimized geometry, PBE.

Unit cell a=7.5561 b=7.5561 c=5.3481 alpha=90.00 beta=90.00 gamma=90.00
Closest atoms and distances in Å follow each position.
Space group P4/mbm (No. 127)
Inequivalent atoms, fractional coordinates:
K 0.1806 0.3194 0.0000 x4  6 Hg 3.30-3.62
Hg 0.1390 0.6390 0.5000 x4  2 P 2.92, 1 Hg 2.97
P 0.0000 0.0000 0.5000 x2  4 Hg 2.92

=====

Least stable: <Q>

=====

<P>
KHgPS2: optimized geometry, PBE.

Unit cell a=6.2142 b=6.2142 c=6.8408 alpha=90.00 beta=90.00 gamma=90.00
Closest atoms and distances in Å follow each position.
Space group P4/mmm (No. 123)
Inequivalent atoms, fractional coordinates:
K 0.0000 0.0000 0.0000 x1  4 S 3.11, 2 P 3.42
Hg 0.5000 0.5000 0.5000 x1  4 P 4.39, 8 S 4.62
P 0.0000 0.0000 0.5000 x1  2 K 3.42
S 0.0000 0.5000 0.0000 x2  2 K 3.11

=====

<Q>
KHgPS2: optimized geometry, PBE.

Unit cell a=5.2378 b=5.2378 c=5.0425 alpha=90.00 beta=90.00 gamma=90.00
Closest atoms and distances in Å follow each position.
Space group P4/mmm (No. 123)
Inequivalent atoms, fractional coordinates:
K 0.0000 0.0000 0.0000 x1  8 S 3.64, 4 P 3.70
Hg 0.5000 0.5000 0.5000 x1  2 P 2.52, 4 S 2.62
P 0.5000 0.5000 0.0000 x1  2 Hg 2.52
S 0.0000 0.5000 0.5000 x2  2 Hg 2.62

=====

Least stable: <P>

=====

<P>
KHgP2S: optimized geometry, PBE.

Unit cell a=6.8407 b=6.8407 c=5.9814 alpha=90.00 beta=90.00 gamma=90.00
Closest atoms and distances in Å follow each position.
Space group P4/mmm (No. 123)
Inequivalent atoms, fractional coordinates:
K 0.0000 0.0000 0.0000 x1  2 S 2.99
Hg 0.5000 0.5000 0.5000 x1  8 P 4.54, 4 S 4.84
P 0.0000 0.5000 0.0000 x2  2 K 3.42
S 0.0000 0.0000 0.5000 x1  2 K 2.99

=====

<Q>
KHgP2S: optimized geometry, PBE.

Unit cell a=5.0904 b=5.0904 c=5.3875 alpha=90.00 beta=90.00 gamma=90.00
Closest atoms and distances in Å follow each position.
Space group P4/mmm (No. 123)
Inequivalent atoms, fractional coordinates:
K 0.0000 0.0000 0.0000 x1  4 S 3.60, 8 P 3.71
Hg 0.5000 0.5000 0.5000 x1  4 P 2.55, 2 S 2.69
P 0.0000 0.5000 0.5000 x2  2 Hg 2.55
S 0.5000 0.5000 0.0000 x1  2 Hg 2.69

=====

Least stable: <P>

=====

<P>
K2HgPb2: optimized geometry, PBE.

Unit cell a=10.3457 b=10.3457 c=3.7342 alpha=90.00 beta=90.00 gamma=90.00
Closest atoms and distances in Å follow each position.
Space group P4/mbm (No. 127)
Inequivalent atoms, fractional coordinates:
K 0.1968 0.3032 0.0000 x4  6 Pb 3.51-3.73, 2 K 3.73
Hg 0.0000 0.0000 0.5000 x2  2 Hg 3.73, 8 K 4.18
Pb 0.1001 0.6001 0.5000 x4  1 Pb 2.93

=====

<Q>
K2HgPb2: optimized geometry, PBE.

Unit cell a=10.6146 b=10.6146 c=3.5541 alpha=90.00 beta=90.00 gamma=90.00
Closest atoms and distances in Å follow each position.
Space group P4/mbm (No. 127)
Inequivalent atoms, fractional coordinates:
K 0.1982 0.3018 0.0000 x4  6 Pb 3.54-3.77, 2 K 3.55, 2 Hg 3.83
Hg 0.0000 0.0000 0.0000 x2  2 Hg 3.55, 4 K 3.83
Pb 0.0982 0.5982 0.5000 x4  1 Pb 2.95

=====

<R>
K2HgPb2: optimized geometry, PBE.

Unit cell a=12.2905 b=5.3681 c=12.5642 alpha=90.00 beta=115.71 gamma=90.00
Closest atoms and distances in Å follow each position.
Space group C2/m (No. 12)
Inequivalent atoms, fractional coordinates:
K 0.0709 0.0000 0.3742 x4  6 Pb 3.59-3.77, 2 Hg 3.81
K 0.1806 0.5000 0.1881 x4  3 Hg 3.63-3.70, 5 Pb 3.75-3.84
Hg 0.1249 0.5000 0.8373 x4  4 Pb 3.05-3.21
Pb 0.1040 0.0000 0.9579 x4  3 Hg 3.15-3.21, 1 Pb 3.16
Pb 0.1247 0.5000 0.5942 x4  1 Pb 2.95, 1 Hg 3.05

=====

<S>
K2HgPb2: optimized geometry, PBE.

Unit cell a=4.9033 b=4.9033 c=15.9259 alpha=90.00 beta=90.00 gamma=90.00
Closest atoms and distances in Å follow each position.
Space group I4/mmm (No. 139)
Inequivalent atoms, fractional coordinates:
K 0.0000 0.5000 0.2500 x4  4 K 3.47, 4 Pb 3.55
Hg 0.0000 0.0000 0.0000 x2  8 Pb 3.75
Pb 0.0000 0.0000 0.4111 x4  1 Pb 2.83

=====

Least stable: <S>

=====

<P>
KHgPb: optimized geometry, PBE.

Unit cell a=3.7915 b=3.7915 c=8.1877 alpha=90.00 beta=90.00 gamma=120.00
Closest atoms and distances in Å follow each position.
Space group P3m1 (No. 156)
Inequivalent atoms, fractional coordinates:
K 0.0000 0.0000 0.0000 x1  3 Hg 3.46, 3 Pb 3.77, 6 K 3.79
Hg 0.3333 0.6667 0.6728 x1  3 Pb 3.27, 3 K 3.46
Pb 0.6667 0.3333 0.3755 x1  3 Hg 3.27

=====

<Q>
KHgPb: optimized geometry, PBE.

Unit cell a=4.7829 b=6.5772 c=7.7999 alpha=71.81 beta=72.22 gamma=68.77
Closest atoms and distances in Å follow each position.
Space group P-1 (No. 2)
Inequivalent atoms, fractional coordinates:
K 0.0712 0.1623 0.1945 x2  5 Hg 3.53-3.64, 2 Pb 3.84-3.86
Hg 0.3690 0.5962 0.1655 x2  1 Hg 2.96, 3 Pb 3.15-3.19
Pb 0.3050 0.3119 0.5764 x2  3 Hg 3.15-3.19, 2 Pb 3.33-3.34

=====

Least stable: <P>

=====

<P>
KHgPb: optimized geometry, PBE.

Unit cell a=5.3551 b=5.3662 c=13.7311 alpha=90.00 beta=90.00 gamma=90.00
Closest atoms and distances in Å follow each position.
Space group Fmm2 (No. 42)
Inequivalent atoms, fractional coordinates:
K 0.0000 0.0000 0.0000 x4  4 Hg 3.50, 4 K 3.79, 4 Pb 3.82-3.83
Hg 0.0000 0.0000 0.6640 x4  4 Pb 3.28, 4 K 3.50
Pb 0.0000 0.0000 0.3014 x4  4 Hg 3.28

=====

<Q>
KHgPb: optimized geometry, PBE.

Unit cell a=5.3134 b=5.3134 c=4.0599 alpha=90.00 beta=90.00 gamma=120.00
Closest atoms and distances in Å follow each position.
Space group P-6m2 (No. 187)
Inequivalent atoms, fractional coordinates:
K 0.0000 0.0000 0.0000 x1  6 Hg 3.68, 6 Pb 3.68, 2 K 4.06
Hg 0.3333 0.6667 0.5000 x1  3 Pb 3.07
Pb 0.6667 0.3333 0.5000 x1  3 Hg 3.07

=====

<R>
KHgPb: optimized geometry, PBE.

Unit cell a=11.9861 b=5.2092 c=8.6944 alpha=90.00 beta=131.24 gamma=90.00
Closest atoms and distances in Å follow each position.
Space group C2/m (No. 12)
Inequivalent atoms, fractional coordinates:
K 0.0665 0.0000 0.3278 x4  5 Hg 3.56-3.77, 4 Pb 3.75-3.87
Hg 0.1547 0.5000 0.7083 x4  1 Hg 3.03, 3 Pb 3.10-3.16
Pb 0.1639 0.5000 0.0803 x4  3 Hg 3.10-3.16, 1 Pb 3.19

=====

Least stable: <P>

=====

<P>
K4HgPb: optimized geometry, PBE.

Unit cell a=10.2018 b=10.2018 c=10.2018 alpha=90.00 beta=90.00 gamma=90.00
Closest atoms and distances in Å follow each position.
Space group F-43m (No. 216)
Inequivalent atoms, fractional coordinates:
K 0.1244 0.1244 0.1244 x16  6 K 3.59-3.62
Hg 0.0000 0.0000 0.5000 x4  12 K 4.23, 4 Pb 4.42
Pb 0.2500 0.2500 0.7500 x4  12 K 4.23, 4 Hg 4.42

=====

<Q>
K4HgPb: optimized geometry, PBE.

Unit cell a=10.6655 b=16.4732 c=6.5836 alpha=90.00 beta=109.83 gamma=90.00
Closest atoms and distances in Å follow each position.
Space group C2/c (No. 15)
Inequivalent atoms, fractional coordinates:
K 0.1281 0.1850 0.0819 x8  2 Hg 3.68-3.71, 2 Pb 3.71-3.84, 3 K 3.80-4.10
K 0.1840 0.4277 0.3399 x8  4 K 3.69-4.10, 2 Hg 3.74-3.80, 3 Pb 3.83-3.96
Hg 0.0000 0.0015 0.7500 x4  2 Hg 3.29, 2 K 3.68
Pb 0.0000 0.3689 0.7500 x4  10 K 3.71-3.96

=====

Least stable: <P>